KReP2 | SCAN | PBEsol geometry

Calculated values
- symmetry = Cm (8)
- theoretical density (g/cm3) = 5.513
- DOS(E_F) (states/eV per cell) = 0.86
- energy relative to the elements (eV per atom) = -0.17

The structure in extended XYZ format:
```
4
Lattice="3.8867 -1.5576 0.0000 3.8867 1.5576 0.0000 -1.3698 0.0000 7.1459" Properties=species:S:1:pos:R:3 pbc="T T T"
K 0.0000 0.0000 0.0000
Re 4.6520 0.0000 3.2377
P 0.8687 0.0000 4.9288
P 2.3942 0.0000 2.5436
```

---

KRe2P | SCAN | PBEsol geometry

Calculated values
- symmetry = Cmmm (65)
- theoretical density (g/cm3) = 10.917
- DOS(E_F) (states/eV per cell) = 2.33
- energy relative to the elements (eV per atom) = 0.81
- energy relative to the lowest polymorph listed for this composition (eV/atom) = 0.3674

The structure in extended XYZ format:
```
4
Lattice="1.4859 -2.3936 0.0000 1.4859 2.3936 0.0000 0.0000 0.0000 9.4616" Properties=species:S:1:pos:R:3 pbc="T T T"
K 0.0000 0.0000 0.0000
Re 1.4859 0.0000 2.9281
Re 1.4859 0.0000 6.5335
P 0.0000 0.0000 4.7308
```

---

KRePSe2 | SCAN | PBEsol geometry

Calculated values
- symmetry = P4/mmm (123)
- theoretical density (g/cm3) = 4.684
- DOS(E_F) (states/eV per cell) = 2.97
- formation energy from raw total energies (eV per atom) = 0.7337

The structure in extended XYZ format:
```
5
Lattice="4.7030 0.0000 0.0000 0.0000 4.7030 0.0000 0.0000 0.0000 6.6388" Properties=species:S:1:pos:R:3 pbc="T T T"
K 0.0000 0.0000 0.0000
Re 0.0000 0.0000 3.3194
P 2.3515 2.3515 0.0000
Se 0.0000 2.3515 3.3194
Se 2.3515 0.0000 3.3194
```

---

KRe2PSe | SCAN | PBEsol geometry

Calculated values
- symmetry = P4/mmm (123)
- theoretical density (g/cm3) = 8.207
- DOS(E_F) (states/eV per cell) = 4.95
- formation energy from raw total energies (eV per atom) = 3.8685

The structure in extended XYZ format:
```
5
Lattice="4.5592 0.0000 0.0000 0.0000 4.5592 0.0000 0.0000 0.0000 5.0756" Properties=species:S:1:pos:R:3 pbc="T T T"
K 0.0000 0.0000 0.0000
Re 0.0000 2.2796 0.0000
Re 2.2796 0.0000 0.0000
P 2.2796 2.2796 2.5378
Se 0.0000 0.0000 2.5378
```

---

KP2Rh | SCAN | PBEsol geometry

Calculated values
- symmetry = Fm-3m (225)
- theoretical density (g/cm3) = 5.279
- DOS(E_F) (states/eV per cell) = 1.01
- energy relative to the elements (eV per atom) = 0.36
- energy relative to the lowest polymorph listed for this composition (eV/atom) = 0.8703

The structure in extended XYZ format:
```
4
Lattice="0.0000 3.1774 3.1774 3.1774 0.0000 3.1774 3.1774 3.1774 0.0000" Properties=species:S:1:pos:R:3 pbc="T T T"
K 0.0000 0.0000 0.0000
P 1.5887 1.5887 1.5887
P 4.7660 4.7660 4.7660
Rh 3.1774 3.1774 3.1774
```

---

KPRh | SCAN | PBEsol geometry

Calculated values
- symmetry = F-43m (216)
- theoretical density (g/cm3) = 4.673
- DOS(E_F) (states/eV per cell) = 3.25
- energy relative to the elements (eV per atom) = 0.59

The structure in extended XYZ format:
```
3
Lattice="0.0000 3.1323 3.1323 3.1323 0.0000 3.1323 3.1323 3.1323 0.0000" Properties=species:S:1:pos:R:3 pbc="T T T"
K 0.0000 0.0000 0.0000
P 1.5661 1.5661 1.5661
Rh 3.1323 3.1323 3.1323
```

---

KP2Rh | SCAN | PBEsol geometry

Calculated values
- symmetry = I-42d (122)
- theoretical density (g/cm3) = 3.453
- DOS(E_F) (states/eV per cell) = 5.79
- energy relative to the elements (eV per atom) = -0.28
- energy relative to the lowest polymorph listed for this composition (eV/atom) = 0.2293

The structure in extended XYZ format:
```
8
Lattice="-3.4694 3.4694 4.0743 3.4694 -3.4694 4.0743 3.4694 3.4694 -4.0743" Properties=species:S:1:pos:R:3 pbc="T T T"
K 0.0000 0.0000 0.0000
K 0.0000 3.4694 2.0371
P 1.7347 2.5475 -1.0186
P 4.3913 1.7347 1.0186
P 1.7347 0.9219 3.0557
P -0.9219 1.7347 5.0929
Rh 3.4694 0.0000 2.0371
Rh 0.0000 0.0000 4.0743
```

---

KP2Rh | SCAN | PBEsol geometry

Calculated values
- symmetry = P4/mmm (123)
- theoretical density (g/cm3) = 4.711
- DOS(E_F) (states/eV per cell) = 1.00
- energy relative to the elements (eV per atom) = -0.28
- energy relative to the lowest polymorph listed for this composition (eV/atom) = 0.2285

The structure in extended XYZ format:
```
4
Lattice="3.2185 0.0000 0.0000 0.0000 3.2185 0.0000 0.0000 0.0000 6.9403" Properties=species:S:1:pos:R:3 pbc="T T T"
K 0.0000 0.0000 0.0000
P 1.6092 1.6092 2.3463
P 1.6092 1.6092 4.5940
Rh 0.0000 0.0000 3.4702
```

---

KP2Rh2 | SCAN | PBEsol geometry

Calculated values
- symmetry = I4/mmm (139)
- theoretical density (g/cm3) = 5.308
- DOS(E_F) (states/eV per cell) = 1.02
- energy relative to the elements (eV per atom) = -0.86

The structure in extended XYZ format:
```
5
Lattice="-1.9377 1.9377 6.3917 1.9377 -1.9377 6.3917 1.9377 1.9377 -6.3917" Properties=species:S:1:pos:R:3 pbc="T T T"
K 0.0000 0.0000 0.0000
P 0.0000 0.0000 4.4685
P 0.0000 0.0000 8.3150
Rh 1.9377 0.0000 3.1959
Rh 0.0000 1.9377 3.1959
```

---

KP2Rh | SCAN | PBEsol geometry

Calculated values
- symmetry = Imm2 (44)
- theoretical density (g/cm3) = 4.359
- DOS(E_F) (states/eV per cell) = 2.03
- energy relative to the elements (eV per atom) = 0.14
- energy relative to the lowest polymorph listed for this composition (eV/atom) = 0.6521

The structure in extended XYZ format:
```
4
Lattice="-1.5370 2.7788 4.5480 1.5370 -2.7788 4.5480 1.5370 2.7788 -4.5480" Properties=species:S:1:pos:R:3 pbc="T T T"
K 0.0000 0.0000 0.0000
P 0.0000 0.0000 4.6946
P 0.0000 2.7788 1.7025
Rh 1.5370 0.0000 2.9969
```

---

KP2Rh | SCAN | PBEsol geometry

Calculated values
- symmetry = C2/m (12)
- theoretical density (g/cm3) = 4.265
- DOS(E_F) (states/eV per cell) = 1.34
- energy relative to the elements (eV per atom) = -0.51
- energy relative to the lowest polymorph listed for this composition (eV/atom) = 0.0000

The structure in extended XYZ format:
```
4
Lattice="3.6312 -1.7806 0.0000 3.6312 1.7806 0.0000 -1.6373 0.0000 6.1403" Properties=species:S:1:pos:R:3 pbc="T T T"
K 0.0000 0.0000 0.0000
P 0.5793 0.0000 3.8640
P 5.0459 0.0000 2.2763
Rh 2.8126 0.0000 3.0702
```

---

KP2Ru | SCAN | PBEsol geometry

Calculated values
- symmetry = P4/mmm (123)
- theoretical density (g/cm3) = 5.014
- DOS(E_F) (states/eV per cell) = 0.60
- energy relative to the elements (eV per atom) = -0.20
- energy relative to the lowest polymorph listed for this composition (eV/atom) = 0.0000

The structure in extended XYZ format:
```
4
Lattice="2.9344 0.0000 0.0000 0.0000 2.9344 0.0000 0.0000 0.0000 7.7732" Properties=species:S:1:pos:R:3 pbc="T T T"
K 0.0000 0.0000 0.0000
P 1.4672 1.4672 2.4597
P 1.4672 1.4672 5.3136
Ru 0.0000 0.0000 3.8866
```